Compound: Tb6PmDyTm2
Source: Alexandria
Functional: GGA-PBE
Structure: relaxed

a = 9.500 Å, b = 8.771 Å, c = 8.771 Å
α = 117.41°, β = 93.50°, γ = 93.50°
Fractional positions:
Tb 0.056 0.120 0.754
Tb 0.444 0.246 0.880
Tb 0.944 0.880 0.246
Tb 0.556 0.754 0.120
Tb 0.317 0.984 0.437
Tb 0.183 0.563 0.016
Tb 0.683 0.016 0.563
Tb 0.817 0.437 0.984
Tb 0.118 0.708 0.489
Tb 0.382 0.511 0.292
Tb 0.882 0.292 0.511
Tb 0.618 0.489 0.708
Pm 0.250 0.972 0.028
Pm 0.750 0.028 0.972
Dy 0.250 0.410 0.590
Dy 0.750 0.590 0.410
Tm 0.453 0.800 0.697
Tm 0.047 0.303 0.200
Tm 0.547 0.200 0.303
Tm 0.953 0.697 0.800

Properties
Formation energy, eV per atom: 0.1204
Total magnetization, μB per atom: 0.00